[1]
CsSb3N: optimized geometry, GGA-PBE.

Unit cell a=5.076 b=5.076 c=5.076 alpha=90.00 beta=90.00 gamma=90.00
Positions (direct):
Cs: 0.000 0.000 0.000
Sb: 0.000 0.500 0.500
Sb: 0.500 0.000 0.500
Sb: 0.500 0.500 0.000
N: 0.500 0.500 0.500

Results
calculated total energy = -3.692 eV per atom
calculated volume = 130.8 Å³/cell
Fermi-level density of states = 0.767 states/eV/atom
total moment = 0.00 μB/atom

***

[2]
CsSb2N: optimized geometry, GGA-PBE.

Unit cell a=4.438 b=5.333 c=7.319 alpha=71.36 beta=72.46 gamma=65.55
Positions (direct):
Cs: 0.000 0.000 0.000
Sb: 0.537 0.478 0.441
Sb: 0.819 0.713 0.643
N: 0.606 0.123 0.665

Results
calculated total energy = -4.245 eV per atom
calculated volume = 146.5 Å³/cell
Fermi-level density of states = 0.044 states/eV/atom
total moment = 0.00 μB/atom

***

[3]
CsSb2N: optimized geometry, GGA-PBE.

Unit cell a=3.289 b=5.411 c=7.781 alpha=90.00 beta=101.97 gamma=90.00
Positions (direct):
Cs: 0.000 0.000 0.000
Sb: 0.180 0.500 0.348
Sb: 0.265 0.000 0.521
N: 0.598 0.500 0.180

Results
calculated total energy = -4.215 eV per atom
calculated volume = 135.5 Å³/cell
Fermi-level density of states = 0.227 states/eV/atom
total moment = 0.00 μB/atom

***

[4]
CsSb3N: optimized geometry, GGA-PBE.

Unit cell a=6.205 b=6.205 c=6.205 alpha=90.00 beta=90.00 gamma=90.00
Positions (direct):
Cs: 0.000 0.000 0.000
Sb: 0.000 0.000 0.500
Sb: 0.000 0.500 0.000
Sb: 0.500 0.000 0.000
N: 0.500 0.500 0.500

Results
calculated total energy = -1.469 eV per atom
calculated volume = 238.9 Å³/cell
Fermi-level density of states = 4.083 states/eV/atom
total moment = 0.00 μB/atom

***

[5]
CsSb2N: optimized geometry, GGA-PBE.

Unit cell a=13.571 b=3.513 c=5.272 alpha=90.00 beta=106.99 gamma=90.00
Positions (direct):
Cs: 0.000 0.000 0.000
Cs: 0.500 0.500 0.000
Sb: 0.187 0.500 0.650
Sb: 0.295 0.000 0.307
Sb: 0.687 0.000 0.650
Sb: 0.795 0.500 0.307
N: 0.219 0.500 0.073
N: 0.719 0.000 0.073

Results
calculated total energy = -4.163 eV per atom
calculated volume = 240.4 Å³/cell
Fermi-level density of states = 0.328 states/eV/atom
total moment = 0.00 μB/atom

***

[6]
CsSb2N: optimized geometry, GGA-PBE.

Unit cell a=5.189 b=5.039 c=6.338 alpha=90.00 beta=108.17 gamma=90.00
Positions (direct):
Cs: 0.000 0.000 0.000
Sb: 0.397 0.500 0.728
Sb: 0.666 0.500 0.401
N: 0.996 0.500 0.677

Results
calculated total energy = -4.169 eV per atom
calculated volume = 157.5 Å³/cell
Fermi-level density of states = 0.311 states/eV/atom
total moment = 0.00 μB/atom

***

[7]
CsSbTe2N: optimized geometry, GGA-PBE.

Unit cell a=6.539 b=6.539 c=3.913 alpha=90.00 beta=90.00 gamma=90.00
Positions (direct):
Cs: 0.000 0.000 0.000
Sb: 0.500 0.500 0.500
Te: 0.000 0.500 0.500
Te: 0.500 0.000 0.500
N: 0.500 0.500 0.000

Results
calculated total energy = -3.563 eV per atom
calculated volume = 167.3 Å³/cell
Fermi-level density of states = 0.755 states/eV/atom
total moment = 0.00 μB/atom

***

[8]
CsSbTe2N: optimized geometry, GGA-PBE.

Unit cell a=6.779 b=6.779 c=6.624 alpha=90.00 beta=90.00 gamma=90.00
Positions (direct):
Cs: 0.000 0.000 0.000
Sb: 0.000 0.000 0.500
Te: 0.000 0.500 0.000
Te: 0.500 0.000 0.000
N: 0.500 0.500 0.500

Results
calculated total energy = -1.499 eV per atom
calculated volume = 304.4 Å³/cell
Fermi-level density of states = 3.386 states/eV/atom
total moment = 0.70 μB/atom

***

[9]
CsSbTeN2: optimized geometry, GGA-PBE.

Unit cell a=4.506 b=4.506 c=7.634 alpha=90.00 beta=90.00 gamma=90.00
Positions (direct):
Cs: 0.000 0.000 0.000
Sb: 0.500 0.500 0.500
Te: 0.000 0.000 0.500
N: 0.000 0.500 0.000
N: 0.500 0.000 0.000

Results
calculated total energy = -2.820 eV per atom
calculated volume = 155.0 Å³/cell
Fermi-level density of states = 0.629 states/eV/atom
total moment = 0.55 μB/atom

***

[10]
CsSbTe2N: optimized geometry, GGA-PBE.

Unit cell a=6.405 b=6.405 c=4.403 alpha=90.00 beta=90.00 gamma=90.00
Positions (direct):
Cs: 0.000 0.000 0.000
Sb: 0.500 0.500 0.500
Te: 0.000 0.500 0.000
Te: 0.500 0.000 0.000
N: 0.000 0.000 0.500

Results
calculated total energy = -2.248 eV per atom
calculated volume = 180.6 Å³/cell
Fermi-level density of states = 1.154 states/eV/atom
total moment = 0.25 μB/atom

***

[11]
CsSb2TeN: optimized geometry, GGA-PBE.

Unit cell a=5.016 b=5.016 c=5.323 alpha=90.00 beta=90.00 gamma=90.00
Positions (direct):
Cs: 0.000 0.000 0.000
Sb: 0.000 0.500 0.500
Sb: 0.500 0.000 0.500
Te: 0.500 0.500 0.000
N: 0.500 0.500 0.500

Results
calculated total energy = -3.542 eV per atom
calculated volume = 133.9 Å³/cell
Fermi-level density of states = 0.938 states/eV/atom
total moment = 0.00 μB/atom

***

[12]
CsSbTe2N: optimized geometry, GGA-PBE.

Unit cell a=5.353 b=5.353 c=4.814 alpha=90.00 beta=90.00 gamma=90.00
Positions (direct):
Cs: 0.000 0.000 0.000
Sb: 0.500 0.500 0.000
Te: 0.000 0.500 0.500
Te: 0.500 0.000 0.500
N: 0.500 0.500 0.500

Results
calculated total energy = -3.411 eV per atom
calculated volume = 137.9 Å³/cell
Fermi-level density of states = 0.580 states/eV/atom
total moment = 0.00 μB/atom